# PBE Hf2MgPt, optimized geometry
data_Hf2MgPt
_chemical_formula_sum 'Hf8 Mg4 Pt4'
_cell_length_a 7.8982
_cell_length_b 7.8982
_cell_length_c 5.6883
_cell_angle_alpha 90.00
_cell_angle_beta 90.00
_cell_angle_gamma 90.00
_symmetry_space_group_name_H-M 'I -4 2 d'
_symmetry_Int_Tables_number 122
_symmetry_space_group_name_Hall 'I -4 2bw'
loop_
_atom_site_label
_atom_site_fract_x
_atom_site_fract_y
_atom_site_fract_z
Hf1 0.1955 0.2500 0.1250
Mg1 0.0000 0.0000 0.5000
Pt1 0.0000 0.0000 0.0000
# - formation energy from the elements (eV/atom) = -0.166
# - electronic total energy (eV/atom) = -7.051